# 1
Sr2OsCl2 | Alexandria via LeMat-Bulk | GGA-PBE | optimized geometry; crystal system = tetragonal
1.0
-0.821 -8.003 -1.153
2.695 -6.577 3.941
-3.551 7.299 0.409
Sr Os Cl
2 1 2
Direct
0.626 0.626 0.000
0.374 0.374 0.000
0.000 0.000 0.000
0.250 0.750 0.500
0.750 0.250 0.500


# 2
Sr4OsCl | Alexandria via LeMat-Bulk | GGA-PBE | optimized geometry; crystal system = cubic
1.0
0.000 4.801 4.801
4.801 0.000 4.801
4.801 4.801 0.000
Sr Os Cl
4 1 1
Direct
0.879 0.374 0.374
0.374 0.374 0.879
0.374 0.879 0.374
0.374 0.374 0.374
0.000 0.000 0.000
0.750 0.750 0.750


# 3
SrOsCl3 | Alexandria via LeMat-Bulk | GGA-PBE | optimized geometry; crystal system = cubic
1.0
5.622 0.000 0.000
0.000 5.622 0.000
0.000 0.000 5.622
Sr Os Cl
1 1 3
Direct
0.000 0.000 0.000
0.500 0.500 0.500
0.000 0.500 0.000
0.000 0.000 0.500
0.500 0.000 0.000


# 4
SrOsCl | Alexandria via LeMat-Bulk | GGA-PBE | optimized geometry; crystal system = trigonal
1.0
3.418 0.000 0.000
-1.709 2.960 0.000
0.000 0.000 7.254
Cl Os Sr
1 1 1
Direct
0.000 0.000 0.964
0.333 0.667 0.351
0.667 0.333 0.684


| no. | V (Å³/atom) | formation energy (no corrections) (meV/atom) |
| --- | --- | --- |
| 1 | 30.18 | -456 |
| 2 | 36.89 | 919 |
| 3 | 35.53 | -21 |
| 4 | 24.47 | 569 |